This record from Alexandria describes crystalline Pa2ZnAs2N2 at its relaxed geometry. The functional is GGA-PBE.

Results
**DOS(E_F)**: 0.28 states/eV/f.u.
**Energy**: -7.677 eV/atom
**Spin magnetization**: 0.0 μB/f.u.

Cell: 11.0085 3.8734 6.9447 Å, 90.00 122.03 90.00°
Closest atoms and distances in Å follow each position.
Fractional positions:
Pa  0.1951  0.0000  0.2485  3 N 2.22-2.28
Pa  0.3049  0.5000  0.7515  3 N 2.22-2.28
Pa  0.6951  0.5000  0.2485  3 N 2.22-2.28
Pa  0.8049  0.0000  0.7515  3 N 2.22-2.28
Zn  0.0000  0.0000  0.5000  2 N 2.02
Zn  0.5000  0.5000  0.5000  2 N 2.02
As  0.0628  0.5000  0.8372  2 Zn 2.83, 3 Pa 3.02-3.10
As  0.4372  0.0000  0.1628  2 Zn 2.83, 3 Pa 3.02-3.10
As  0.5628  0.0000  0.8372  2 Zn 2.83, 3 Pa 3.02-3.10
As  0.9372  0.5000  0.1628  2 Zn 2.83, 3 Pa 3.02-3.10
N  0.2066  0.0000  0.5861  1 Zn 2.02, 2 Pa 2.22
N  0.2934  0.5000  0.4139  1 Zn 2.02, 2 Pa 2.22
N  0.7066  0.5000  0.5861  1 Zn 2.02, 2 Pa 2.22
N  0.7934  0.0000  0.4139  1 Zn 2.02, 2 Pa 2.22